No. 1
Compound: Tl2ReSi
Source: the Alexandria database
Functional: PBE
Structure: optimized geometry

a = 4.850 Å, b = 4.850 Å, c = 4.850 Å
α = 60.00°, β = 60.00°, γ = 60.00°
Fractional coordinates of all 4 atoms:
1 Tl 0.000 0.000 0.000
2 Tl 0.250 0.250 0.250
3 Re 0.750 0.750 0.750
4 Si 0.500 0.500 0.500

Results
The calculation puts the formation energy without anion corrections at 4.7 eV/f.u. As for the symmetry: F-43m, No. 216. Its crystal system is cubic.


No. 2
Compound: Ru2PtCl
Source: the Alexandria database
Functional: PBE
Structure: optimized geometry

a = 3.142 Å, b = 3.142 Å, c = 6.498 Å
α = 90.00°, β = 90.00°, γ = 90.00°
Fractional coordinates of all 4 atoms:
1 Ru 0.000 0.000 0.215
2 Ru 0.000 0.000 0.785
3 Pt 0.500 0.500 0.000
4 Cl 0.500 0.500 0.500

Results
The calculation puts the formation energy without anion corrections at 2.4 eV/f.u. As for the symmetry: P4/mmm, No. 123. Its crystal system is tetragonal.


No. 3
Compound: Re2Hg
Source: the Alexandria database
Functional: PBE
Structure: optimized geometry

a = 4.693 Å, b = 4.693 Å, c = 2.740 Å
α = 90.00°, β = 90.00°, γ = 90.00°
Fractional coordinates of all 3 atoms:
1 Re 0.000 0.500 0.000
2 Re 0.500 0.000 0.000
3 Hg 0.000 0.000 0.500

Results
As for the symmetry: P4/mmm, No. 123. Its crystal system is tetragonal. The calculation puts the formation energy at 2.226 eV/atom.


No. 4
Compound: Pd4Pt5Pb
Source: the Alexandria database
Functional: PBE
Structure: optimized geometry

a = 6.300 Å, b = 6.300 Å, c = 4.698 Å
α = 98.85°, β = 98.85°, γ = 82.48°
Fractional coordinates of all 10 atoms:
1 Pd 0.172 0.828 0.000
2 Pd 0.255 0.255 0.257
3 Pd 0.745 0.745 0.743
4 Pd 0.828 0.172 0.000
5 Pt 0.000 0.000 0.500
6 Pt 0.067 0.409 0.742
7 Pt 0.409 0.067 0.742
8 Pt 0.591 0.933 0.258
9 Pt 0.933 0.591 0.258
10 Pb 0.500 0.500 0.000

Results
As for the symmetry: C2/m, No. 12. Its crystal system is monoclinic. The calculation puts the formation energy at 0.007 eV/atom.


No. 5
Compound: PrAgAsF
Source: the Alexandria database
Functional: PBE
Structure: optimized geometry

a = 4.095 Å, b = 4.095 Å, c = 9.090 Å
α = 90.00°, β = 90.00°, γ = 90.00°
Fractional coordinates of all 8 atoms:
1 Pr 0.250 0.250 0.175
2 Pr 0.750 0.750 0.825
3 Ag 0.250 0.750 0.500
4 Ag 0.750 0.250 0.500
5 As 0.250 0.250 0.706
6 As 0.750 0.750 0.294
7 F 0.250 0.750 0.000
8 F 0.750 0.250 0.000

Results
The calculation puts the formation energy without anion corrections at -7.3 eV/f.u. As for the symmetry: P4/nmm, No. 129. Its crystal system is tetragonal.


No. 6
Compound: AgRh
Source: the Alexandria database
Functional: PBE
Structure: optimized geometry

a = 4.505 Å, b = 4.505 Å, c = 4.505 Å
α = 60.00°, β = 60.00°, γ = 60.00°
Fractional coordinates of all 4 atoms:
1 Ag 0.125 0.125 0.125
2 Ag 0.875 0.875 0.875
3 Rh 0.375 0.375 0.375
4 Rh 0.625 0.625 0.625

Results
As for the symmetry: Fd-3m, No. 227. Its crystal system is cubic. The calculation puts the formation energy at 0.357 eV/atom.


No. 7
Compound: NaSnHg2Pb2
Source: the Alexandria database
Functional: PBE
Structure: optimized geometry

a = 4.686 Å, b = 10.195 Å, c = 7.030 Å
α = 90.00°, β = 90.00°, γ = 90.00°
Fractional coordinates of all 12 atoms:
1 Na 0.000 0.015 0.000
2 Na 0.000 0.985 0.500
3 Sn 0.500 0.194 0.747
4 Sn 0.500 0.806 0.247
5 Hg 0.000 0.327 0.968
6 Hg 0.000 0.673 0.468
7 Hg 0.500 0.132 0.251
8 Hg 0.500 0.868 0.751
9 Pb 0.000 0.318 0.468
10 Pb 0.000 0.682 0.968
11 Pb 0.500 0.484 0.191
12 Pb 0.500 0.516 0.691

Results
As for the symmetry: Pmc2_1, No. 26. Its crystal system is orthorhombic. The calculation puts the formation energy at -0.065 eV/atom.


No. 8
Compound: AgRh2Br
Source: the Alexandria database
Functional: PBE
Structure: optimized geometry

a = 4.564 Å, b = 4.564 Å, c = 4.564 Å
α = 60.00°, β = 60.00°, γ = 60.00°
Fractional coordinates of all 4 atoms:
1 Ag 0.000 0.000 0.000
2 Rh 0.250 0.250 0.250
3 Rh 0.750 0.750 0.750
4 Br 0.500 0.500 0.500

Results
The calculation puts the formation energy without anion corrections at 2.8 eV/f.u. As for the symmetry: Fm-3m, No. 225. Its crystal system is cubic.